Record 1
Entry from Alexandria: crystalline LaAgIr3 at its relaxed geometry (GGA-PBE).

Unit cell a=4.8556 b=4.8556 c=4.8556 alpha=90.00 beta=90.00 gamma=90.00
Last column: magnetic moment on the atom in μB.
Fractional coordinates of all 5 atoms:
Ir (0.5000, 0.0000, 0.0000)  0.27
Ir (0.0000, 0.5000, 0.0000)  0.41
Ir (0.0000, 0.0000, 0.5000)  0.46
Ag (0.0000, 0.0000, 0.0000)  0.01
La (0.5000, 0.5000, 0.5000)  -0.02

The space-group type is Pm-3m (221). The value obtained for the formation energy from the elements is 5.9 eV/f.u. Its relative energy among the computed polymorphs is 0 meV/atom. Its total magnetic moment is 1.12 μB per formula unit.



Record 2
Entry from Alexandria: crystalline SrFe2Hg at its relaxed geometry (GGA-PBE).

Unit cell a=4.9206 b=4.9206 c=4.9206 alpha=120.25 beta=120.25 gamma=89.56
Last column: magnetic moment on the atom in μB.
Fractional coordinates of all 4 atoms:
Sr (0.7500, 0.2500, 0.5000)  -0.04
Fe (0.0000, 0.0000, 0.0000)  2.84
Fe (0.2500, 0.7500, 0.5000)  2.97
Hg (0.5000, 0.5000, 0.0000)  -0.04

The space-group type is I-4m2 (119). The value obtained for the formation energy from the elements is 2.4 eV/f.u. Its total magnetic moment is 5.58 μB per formula unit.



| no. | density (g/cm3) | final energy (eV/atom) |
| --- | --- | --- |
| 1 | 11.9 | -5.69 |
| 2 | 7.9 | -4.13 |